Entry 1:
Computed, not measured: crystalline Te2WSe at its relaxed geometry at the GGA-PBE level of DFT.

a b c (Å): 3.366 4.971 5.108
angles (deg): 90.00 90.00 90.00
Atoms (fractional coordinates):
Te 0.000 0.000 0.000
Te 0.500 0.000 0.500
W 0.000 0.500 0.500
Se 0.500 0.500 0.000

* formation energy from raw total energies: 942 meV/atom
* magnetic moment: 0.227 μB/atom
* SG: Pmmm (47)
* calculated total energy: -4.738 eV/atom
* crystal system: orthorhombic
* calculated volume: 21.368 Å³ per atom

Entry 2:
Computed, not measured: crystalline Te2WSe at its relaxed geometry at the GGA-PBE level of DFT.

a b c (Å): 6.847 6.847 6.687
angles (deg): 116.95 116.95 26.99
Atoms (fractional coordinates):
Te 0.000 0.000 0.000
Te 0.163 0.163 0.647
W 0.662 0.662 0.316
Se 0.303 0.303 0.301

* formation energy from raw total energies: -4 meV/atom
* magnetic moment: 0.000 μB/atom
* SG: Cm (8)
* calculated total energy: -5.685 eV/atom
* crystal system: monoclinic
* calculated volume: 31.471 Å³ per atom

Entry 3:
Computed, not measured: crystalline TeW2Se3 at its relaxed geometry at the GGA-PBE level of DFT.

a b c (Å): 8.596 8.596 11.997
angles (deg): 117.72 117.72 22.50
Atoms (fractional coordinates):
Te 0.102 0.102 0.193
Te 0.898 0.898 0.807
W 0.251 0.251 0.156
W 0.260 0.260 0.660
W 0.740 0.740 0.340
W 0.749 0.749 0.844
Se 0.129 0.129 0.710
Se 0.341 0.341 0.518
Se 0.344 0.344 0.028
Se 0.656 0.656 0.972
Se 0.659 0.659 0.482
Se 0.871 0.871 0.290

* formation energy from raw total energies: -361 meV/atom
* magnetic moment: 0.000 μB/atom
* SG: C2/m (12)
* calculated total energy: -6.945 eV/atom
* crystal system: monoclinic
* excess energy over the best structure of this formula in the dataset: 35 kJ/mol of formula units
* calculated volume: 24.889 Å³ per atom